(1)
Computed, not measured: crystalline Ge2BOsCl at its relaxed geometry at the PBE level of DFT.

Computed properties:
Raw formation energy   88 kJ/mol of atoms

abc: 4.797 4.797 3.983
angles: 90.00 90.00 90.00
Sites, in units of the cell vectors:
Ge 0.000 0.500 0.000
Ge 0.500 0.000 0.000
B 0.000 0.000 0.000
Os 0.000 0.000 0.500
Cl 0.500 0.500 0.500



(2)
Computed, not measured: crystalline GeBS2Cl at its relaxed geometry at the PBE level of DFT.

Computed properties:
Raw formation energy   98 kJ/mol of atoms
Offset from the most stable computed form   545.7 meV/atom

abc: 4.687 4.687 5.005
angles: 90.00 90.00 90.00
Sites, in units of the cell vectors:
Ge 0.000 0.000 0.000
B 0.500 0.500 0.500
S 0.000 0.500 0.000
S 0.500 0.000 0.000
Cl 0.000 0.000 0.500



(3)
Computed, not measured: crystalline GeBS2Cl at its relaxed geometry at the PBE level of DFT.

Computed properties:
Raw formation energy   45 kJ/mol of atoms
Offset from the most stable computed form   0.0 meV/atom

abc: 4.239 4.239 4.520
angles: 90.00 90.00 90.00
Sites, in units of the cell vectors:
Ge 0.000 0.000 0.000
B 0.500 0.500 0.500
S 0.000 0.500 0.500
S 0.500 0.000 0.500
Cl 0.500 0.500 0.000



(4)
Computed, not measured: crystalline GeBSbCl2 at its relaxed geometry at the PBE level of DFT.

Computed properties:
Raw formation energy   99 kJ/mol of atoms
Offset from the most stable computed form   148.5 meV/atom

abc: 5.158 5.158 5.843
angles: 90.00 90.00 90.00
Sites, in units of the cell vectors:
Ge 0.000 0.000 0.000
B 0.500 0.500 0.000
Sb 0.000 0.000 0.500
Cl 0.000 0.500 0.500
Cl 0.500 0.000 0.500



(5)
Computed, not measured: crystalline GeBSbCl2 at its relaxed geometry at the PBE level of DFT.

Computed properties:
Raw formation energy   85 kJ/mol of atoms
Offset from the most stable computed form   0.0 meV/atom

abc: 5.371 5.371 4.429
angles: 90.00 90.00 90.00
Sites, in units of the cell vectors:
Ge 0.000 0.000 0.000
B 0.500 0.500 0.000
Sb 0.500 0.500 0.500
Cl 0.000 0.500 0.500
Cl 0.500 0.000 0.500



(6)
Computed, not measured: crystalline TlGe2BCl at its relaxed geometry at the PBE level of DFT.

Computed properties:
Raw formation energy   115 kJ/mol of atoms

abc: 5.762 5.762 4.084
angles: 90.00 90.00 90.00
Sites, in units of the cell vectors:
Tl 0.000 0.000 0.000
Ge 0.000 0.500 0.000
Ge 0.500 0.000 0.000
B 0.000 0.000 0.500
Cl 0.500 0.500 0.500



(7)
Computed, not measured: crystalline V2GeBCl at its relaxed geometry at the PBE level of DFT.

Computed properties:
Raw formation energy   50 kJ/mol of atoms

abc: 4.369 4.369 3.771
angles: 90.00 90.00 90.00
Sites, in units of the cell vectors:
V 0.000 0.500 0.000
V 0.500 0.000 0.000
Ge 0.000 0.000 0.500
B 0.000 0.000 0.000
Cl 0.500 0.500 0.500



(8)
Computed, not measured: crystalline BHCl3 at its relaxed geometry at the PBE level of DFT.

Computed properties:
Offset from the most stable computed form   920.2 meV/atom

abc: 4.354 4.354 4.354
angles: 90.00 90.00 90.00
Sites, in units of the cell vectors:
B 0.000 0.000 0.000
H 0.500 0.500 0.500
Cl 0.000 0.000 0.500
Cl 0.000 0.500 0.000
Cl 0.500 0.000 0.000



(9)
Computed, not measured: crystalline B2H8Cl at its relaxed geometry at the PBE level of DFT.

Computed properties:
Offset from the most stable computed form   131.2 meV/atom

abc: 6.954 6.954 2.588
angles: 90.66 90.66 119.14
Sites, in units of the cell vectors:
B 0.165 0.835 0.000
B 0.835 0.165 0.000
H 0.032 0.270 0.009
H 0.225 0.775 0.500
H 0.270 0.032 0.009
H 0.370 0.370 0.992
H 0.630 0.630 0.008
H 0.730 0.968 0.991
H 0.775 0.225 0.500
H 0.968 0.730 0.991
Cl 0.500 0.500 0.500



(10)
Computed, not measured: crystalline B2H6Cl at its relaxed geometry at the PBE level of DFT.

Computed properties:
Offset from the most stable computed form   12.1 meV/atom

abc: 3.228 4.704 6.009
angles: 110.70 96.96 95.10
Sites, in units of the cell vectors:
B 0.249 0.059 0.457
B 0.751 0.941 0.543
H 0.063 0.176 0.666
H 0.250 0.243 0.363
H 0.431 0.815 0.323
H 0.569 0.185 0.677
H 0.750 0.757 0.637
H 0.937 0.824 0.334
Cl 0.500 0.500 0.000



(11)
Computed, not measured: crystalline BH3Cl at its relaxed geometry at the PBE level of DFT.

Computed properties:
Offset from the most stable computed form   0.0 meV/atom

abc: 4.691 5.265 6.477
angles: 95.92 94.92 106.06
Sites, in units of the cell vectors:
B 0.141 0.153 0.038
B 0.859 0.847 0.962
H 0.111 0.911 0.093
H 0.348 0.210 0.940
H 0.496 0.928 0.500
H 0.504 0.072 0.500
H 0.652 0.790 0.060
H 0.889 0.089 0.907
Cl 0.117 0.374 0.257
Cl 0.883 0.626 0.743



(12)
Computed, not measured: crystalline BH4Cl at its relaxed geometry at the PBE level of DFT.

Computed properties:
Offset from the most stable computed form   307.6 meV/atom

abc: 2.841 2.841 6.871
angles: 90.27 90.27 90.00
Sites, in units of the cell vectors:
B 0.000 0.000 0.000
H 0.000 0.500 0.000
H 0.002 0.002 0.176
H 0.500 0.000 0.000
H 0.998 0.998 0.824
Cl 0.500 0.500 0.500



(13)
Computed, not measured: crystalline B2H7Cl2 at its relaxed geometry at the PBE level of DFT.

Computed properties:
Uncorrected energy   -3.41 eV/atom

abc: 5.884 5.884 4.586
angles: 105.32 105.32 104.61
Sites, in units of the cell vectors:
B 0.175 0.175 0.492
B 0.825 0.825 0.508
H 0.000 0.000 0.500
H 0.160 0.160 0.225
H 0.237 0.380 0.746
H 0.380 0.237 0.746
H 0.620 0.763 0.254
H 0.763 0.620 0.254
H 0.840 0.840 0.775
Cl 0.302 0.698 0.000
Cl 0.698 0.302 0.000



(14)
Computed, not measured: crystalline BH3Cl at its relaxed geometry at the PBE level of DFT.

Computed properties:
Offset from the most stable computed form   1365.2 meV/atom

abc: 3.328 3.328 3.328
angles: 90.00 90.00 90.00
Sites, in units of the cell vectors:
B 0.000 0.000 0.000
H 0.000 0.000 0.500
H 0.000 0.500 0.000
H 0.500 0.000 0.000
Cl 0.500 0.500 0.500



(15)
Computed, not measured: crystalline B2H4Cl at its relaxed geometry at the PBE level of DFT.

Computed properties:
Uncorrected energy   -4.02 eV/atom

abc: 4.101 4.151 9.840
angles: 89.77 88.31 80.81
Sites, in units of the cell vectors:
B 0.000 0.000 0.000
B 0.037 0.282 0.460
B 0.579 0.855 0.962
B 0.891 0.857 0.500
H 0.085 0.714 0.026
H 0.176 0.770 0.527
H 0.319 0.237 0.423
H 0.511 0.965 0.075
H 0.617 0.577 0.928
H 0.661 0.876 0.579
H 0.923 0.336 0.574
H 0.978 0.221 0.078
Cl 0.263 0.095 0.845
Cl 0.803 0.607 0.345



(16)
Computed, not measured: crystalline BH5Cl4 at its relaxed geometry at the PBE level of DFT.

Computed properties:
Uncorrected energy   -3.06 eV/atom

abc: 6.474 6.474 6.474
angles: 110.46 110.46 107.51
Sites, in units of the cell vectors:
B 0.000 0.000 0.000
H 0.015 0.951 0.729
H 0.222 0.285 0.271
H 0.285 0.015 0.063
H 0.844 0.844 0.000
H 0.951 0.222 0.937
Cl 0.228 0.362 0.499
Cl 0.362 0.864 0.134
Cl 0.730 0.228 0.866
Cl 0.864 0.730 0.501



(17)
Computed, not measured: crystalline B2HCl8 at its relaxed geometry at the PBE level of DFT.

Computed properties:
Uncorrected energy   -3.37 eV/atom

abc: 7.122 7.122 6.454
angles: 99.97 99.97 81.78
Sites, in units of the cell vectors:
B 0.216 0.216 0.319
B 0.784 0.784 0.681
H 0.000 0.000 0.000
Cl 0.034 0.725 0.821
Cl 0.222 0.222 0.603
Cl 0.275 0.966 0.179
Cl 0.379 0.379 0.276
Cl 0.621 0.621 0.724
Cl 0.725 0.034 0.821
Cl 0.778 0.778 0.397
Cl 0.966 0.275 0.179



(18)
Computed, not measured: crystalline BH3Cl at its relaxed geometry at the PBE level of DFT.

Computed properties:
Offset from the most stable computed form   2036.6 meV/atom

abc: 3.525 3.525 3.525
angles: 90.00 90.00 90.00
Sites, in units of the cell vectors:
B 0.000 0.000 0.000
H 0.000 0.500 0.500
H 0.500 0.000 0.500
H 0.500 0.500 0.000
Cl 0.500 0.500 0.500



(19)
Computed, not measured: crystalline BH2Cl at its relaxed geometry at the PBE level of DFT.

Computed properties:
Offset from the most stable computed form   0.0 meV/atom

abc: 5.806 9.429 4.520
angles: 90.00 90.00 90.00
Sites, in units of the cell vectors:
B 0.184 0.034 0.000
B 0.316 0.534 0.500
B 0.684 0.466 0.000
B 0.816 0.966 0.500
H 0.178 0.472 0.352
H 0.242 0.132 0.150
H 0.258 0.632 0.650
H 0.322 0.972 0.852
H 0.678 0.028 0.352
H 0.742 0.368 0.150
H 0.758 0.868 0.650
H 0.822 0.528 0.852
Cl 0.052 0.889 0.248
Cl 0.448 0.389 0.748
Cl 0.552 0.611 0.248
Cl 0.948 0.111 0.748



(20)
Computed, not measured: crystalline BH5Cl2 at its relaxed geometry at the PBE level of DFT.

Computed properties:
Uncorrected energy   -3.37 eV/atom

abc: 4.338 4.542 6.340
angles: 85.56 86.94 81.80
Sites, in units of the cell vectors:
B 0.000 0.000 0.000
H 0.013 0.148 0.149
H 0.211 0.801 0.973
H 0.720 0.911 0.989
H 0.807 0.814 0.097
H 0.908 0.141 0.841
Cl 0.416 0.626 0.620
Cl 0.672 0.399 0.394



(21)
Computed, not measured: crystalline B2H8Cl at its relaxed geometry at the PBE level of DFT.

Computed properties:
Offset from the most stable computed form   0.0 meV/atom

abc: 5.701 5.701 4.712
angles: 94.92 94.92 57.53
Sites, in units of the cell vectors:
B 0.163 0.163 0.235
B 0.837 0.837 0.765
H 0.052 0.675 0.905
H 0.138 0.138 0.965
H 0.274 0.274 0.350
H 0.325 0.948 0.095
H 0.675 0.052 0.905
H 0.726 0.726 0.650
H 0.862 0.862 0.035
H 0.948 0.325 0.095
Cl 0.000 0.000 0.500



(22)
Computed, not measured: crystalline BH4Cl3 at its relaxed geometry at the PBE level of DFT.

Computed properties:
Uncorrected energy   -3.22 eV/atom

abc: 6.759 6.759 6.759
angles: 154.09 98.04 87.75
Sites, in units of the cell vectors:
B 0.000 0.000 0.000
H 0.321 0.363 0.958
H 0.406 0.363 0.042
H 0.861 0.032 0.171
H 0.861 0.690 0.829
Cl 0.208 0.551 0.657
Cl 0.720 0.220 0.500
Cl 0.894 0.551 0.343



(23)
Computed, not measured: crystalline BH3Cl3 at its relaxed geometry at the PBE level of DFT.

Computed properties:
Uncorrected energy   -3.03 eV/atom

abc: 8.802 4.197 8.827
angles: 90.00 119.53 90.00
Sites, in units of the cell vectors:
B 0.209 0.250 0.257
B 0.791 0.750 0.743
H 0.078 0.250 0.120
H 0.222 0.250 0.398
H 0.355 0.250 0.253
H 0.645 0.750 0.747
H 0.778 0.750 0.602
H 0.922 0.750 0.880
Cl 0.226 0.250 0.790
Cl 0.245 0.750 0.723
Cl 0.331 0.750 0.253
Cl 0.669 0.250 0.747
Cl 0.755 0.250 0.277
Cl 0.774 0.750 0.210



| no. | density of states at the Fermi level (states/eV/cell) |
| --- | --- |
| 1 | 2.80 |
| 2 | 1.16 |
| 3 | 1.82 |
| 4 | 3.71 |
| 5 | 4.31 |
| 6 | 2.74 |
| 7 | 4.73 |
| 8 | 2.08 |
| 9 | 0.96 |
| 10 | 1.33 |
| 11 | 0.00 |
| 12 | 1.39 |
| 13 | 1.86 |
| 14 | 2.62 |
| 15 | 1.39 |
| 16 | 0.00 |
| 17 | 11.47 |
| 18 | 1.31 |
| 19 | 0.00 |
| 20 | 0.00 |
| 21 | 0.69 |
| 22 | 0.00 |
| 23 | 4.74 |